1.
Density functional theory data (PBE-GGA) for ScHg2AsS after structural relaxation.

Calculated values
As for the density of states at the Fermi level: 3.6 states/eV/f.u. Its space-group type is P4/mmm. As for the excess energy over the best structure of this formula in the dataset: 338 meV/atom.

a = 4.9520 Å, b = 4.9520 Å, c = 5.1863 Å
α = 90.00°, β = 90.00°, γ = 90.00°
Last column: nearest neighbours and their distance in Å.
Atoms (fractional coordinates):
Sc (0.5000, 0.5000, 0.5000)  4 As 3.50, 8 Hg 3.59
As (0.0000, 0.0000, 0.5000)  2 S 2.59
S (0.0000, 0.0000, 0.0000)  4 Hg 2.48, 2 As 2.59
Hg (0.0000, 0.5000, 0.0000)  2 S 2.48
Hg (0.5000, 0.0000, 0.0000)  2 S 2.48

***

2.
Density functional theory data (PBE-GGA) for RbCdB after structural relaxation.

Calculated values
As for the energy relative to the elements: 0.217 eV per atom. As for the density of states at the Fermi level: 1.4 states/eV/f.u. Its space-group type is C2/m.

a = 3.1820 Å, b = 5.0769 Å, c = 11.5606 Å
α = 78.39°, β = 90.00°, γ = 108.26°
Last column: nearest neighbours and their distance in Å.
Atoms (fractional coordinates):
Cd (0.1492, 0.2984, 0.9446)  5 Cd 2.89-3.18
Cd (0.8508, 0.7016, 0.0554)  5 Cd 2.89-3.18
B (0.2529, 0.5058, 0.5001)  2 B 1.59
B (0.7471, 0.4942, 0.4999)  2 B 1.59
Rb (0.0473, 0.0946, 0.3155)  2 Rb 3.18, 6 B 3.21-3.55
Rb (0.9527, 0.9054, 0.6845)  2 Rb 3.18, 6 B 3.21-3.55

***

3.
Density functional theory data (PBE-GGA) for YCr2Ru2 after structural relaxation.

Calculated values
As for the energy relative to the elements: 0.210 eV per atom. As for the density of states at the Fermi level: 4.5 states/eV/f.u. Its space-group type is P4/mbm. As for the excess energy over the best structure of this formula in the dataset: 224 meV/atom.

a = 7.4755 Å, b = 7.4755 Å, c = 2.8827 Å
α = 90.00°, β = 90.00°, γ = 90.00°
Last column: nearest neighbours and their distance in Å.
Atoms (fractional coordinates):
Y (0.0000, 0.0000, 0.0000)  2 Y 2.88, 4 Ru 2.91, 8 Cr 3.17
Y (0.5000, 0.5000, 0.0000)  2 Y 2.88, 4 Ru 2.91, 8 Cr 3.17
Ru (0.3659, 0.8659, 0.0000)  6 Cr 2.62-2.63, 3 Ru 2.83-2.88, 2 Y 2.91
Ru (0.8659, 0.6341, 0.0000)  6 Cr 2.62-2.63, 3 Ru 2.83-2.88, 2 Y 2.91
Ru (0.6341, 0.1341, 0.0000)  6 Cr 2.62-2.63, 3 Ru 2.83-2.88, 2 Y 2.91
Ru (0.1341, 0.3659, 0.0000)  6 Cr 2.62-2.63, 3 Ru 2.83-2.88, 2 Y 2.91
Cr (0.1574, 0.6574, 0.5000)  6 Ru 2.62-2.63, 2 Cr 2.88
Cr (0.6574, 0.8426, 0.5000)  6 Ru 2.62-2.63, 2 Cr 2.88
Cr (0.8426, 0.3426, 0.5000)  6 Ru 2.62-2.63, 2 Cr 2.88
Cr (0.3426, 0.1574, 0.5000)  6 Ru 2.62-2.63, 2 Cr 2.88

***

4.
Density functional theory data (PBE-GGA) for LaYSiAg after structural relaxation.

Calculated values
As for the density of states at the Fermi level: 3.7 states/eV/f.u. Its space-group type is F-43m.

a = 5.1960 Å, b = 5.1960 Å, c = 5.1960 Å
α = 60.00°, β = 60.00°, γ = 60.00°
Last column: nearest neighbours and their distance in Å.
Atoms (fractional coordinates):
Y (0.5000, 0.5000, 0.5000)  4 Si 3.18, 4 Ag 3.18
Si (0.7500, 0.7500, 0.7500)  4 La 3.18, 4 Y 3.18
Ag (0.2500, 0.2500, 0.2500)  4 Y 3.18, 4 La 3.18
La (0.0000, 0.0000, 0.0000)  4 Ag 3.18, 4 Si 3.18

***

5.
Density functional theory data (PBE-GGA) for LiNdRh2 after structural relaxation.

Calculated values
As for the energy relative to the elements: -0.305 eV per atom. As for the density of states at the Fermi level: 2.2 states/eV/f.u. Its space-group type is P4/mmm.

a = 3.3815 Å, b = 3.3815 Å, c = 6.1739 Å
α = 90.00°, β = 90.00°, γ = 90.00°
Last column: nearest neighbours and their distance in Å.
Atoms (fractional coordinates):
Rh (0.0000, 0.0000, 0.7791)  1 Rh 2.73, 4 Li 2.75, 4 Nd 2.95
Rh (0.0000, 0.0000, 0.2209)  1 Rh 2.73, 4 Li 2.75, 4 Nd 2.95
Nd (0.5000, 0.5000, 0.5000)  8 Rh 2.95, 2 Li 3.09
Li (0.5000, 0.5000, 0.0000)  8 Rh 2.75

***

6.
Density functional theory data (PBE-GGA) for Ac4GeTeI2 after structural relaxation.

Calculated values
As for the density of states at the Fermi level: 3.5 states/eV/f.u. Its space-group type is P2/m.

a = 4.6988 Å, b = 8.2764 Å, c = 8.2637 Å
α = 109.10°, β = 90.00°, γ = 90.00°
Last column: nearest neighbours and their distance in Å.
Atoms (fractional coordinates):
Ac (0.5000, 0.2626, 0.2178)  1 Ge 3.07, 2 Te 3.31
Ac (0.5000, 0.7374, 0.7822)  1 Ge 3.07, 2 Te 3.31
Ac (0.0000, 0.2833, 0.7917)  2 Ge 3.11, 1 Te 3.33, 1 I 3.44
Ac (0.0000, 0.7167, 0.2083)  2 Ge 3.11, 1 Te 3.33, 1 I 3.44
Ge (0.5000, 0.5000, 0.0000)  6 Ac 3.07-3.11
Te (0.0000, 0.0000, 0.0000)  6 Ac 3.31-3.33
I (0.5000, 0.0000, 0.5000)  6 Ac 3.62-3.67
I (0.0000, 0.5000, 0.5000)  6 Ac 3.44

***

no.,final energy (eV per atom)
1,-2.722
2,-2.636
3,-8.643
4,-5.353
5,-5.651
6,-4.515